First-principles (PBE-GGA) data for a relaxed structure of Na3TmCl6, as listed in Alexandria.

Computed properties:
uncorrected formation energy = -1.870 eV per atom
magnetization = 0.00 μB per atom
space-group type = No. 225
calculated density = 2.55 g/cm³

Structure (extended XYZ):
```
10
Lattice="-1.8168 -3.2985 6.4350 -0.2734 -7.4385 0.4292 5.1770 -3.7029 3.8829" Properties=species:S:1:pos:R:3 pbc="T T T"
Tm 0.0000 0.0000 0.0000
Na 1.5434 -7.2199 5.3735
Na 0.7717 -3.6100 2.6868
Na 2.3151 -10.8299 8.0603
Cl 3.2589 -9.2220 4.8316
Cl -0.1721 -5.2179 5.9154
Cl -0.3117 -9.0156 6.1346
Cl 0.6158 -7.3315 2.8492
Cl 2.4710 -7.1084 7.8978
Cl 3.3985 -5.4243 4.6125
```

---

First-principles (PBE-GGA) data for a relaxed structure of PmPt2Au2, as listed in Alexandria.

Computed properties:
magnetization = 0.00 μB per atom
space-group type = No. 139
calculated density = 14.91 g/cm³
energy relative to the elements = -0.54 eV/atom

Structure (extended XYZ):
```
10
Lattice="3.9783 0.0000 0.0000 0.0000 3.9783 0.0000 -1.9892 -1.9892 13.0732" Properties=species:S:1:pos:R:3 pbc="T T T"
Pm 0.0000 0.0000 9.8664
Pm 1.9892 1.9892 3.2067
Pt 0.0000 1.9892 6.5366
Pt 1.9892 0.0000 6.5366
Pt 1.9892 1.9892 11.0772
Pt 0.0000 0.0000 1.9960
Au 0.0000 1.9892 0.0000
Au 1.9892 0.0000 0.0000
Au 1.9892 1.9892 8.4529
Au 0.0000 0.0000 4.6203
```

---

First-principles (PBE-GGA) data for a relaxed structure of NiAgBi2, as listed in Alexandria.

Computed properties:
magnetization = 0.00 μB per atom
space-group type = No. 122
calculated density = 9.55 g/cm³
energy relative to the elements = 0.19 eV/atom

Structure (extended XYZ):
```
8
Lattice="8.8983 0.0000 0.0000 0.0000 8.8983 0.0000 4.4492 4.4492 2.5674" Properties=species:S:1:pos:R:3 pbc="T T T"
Bi 5.6309 2.2246 0.6419
Bi 3.2674 6.6737 0.6419
Bi 11.1229 10.0800 1.9256
Bi 6.6737 7.7166 1.9256
Ag 0.0000 0.0000 0.0000
Ag 8.8983 4.4492 1.2837
Ni 4.4492 4.4492 0.0000
Ni 4.4492 8.8983 1.2837
```

---

First-principles (PBE-GGA) data for a relaxed structure of PmDy4HoEr2, as listed in Alexandria.

Computed properties:
magnetization = 0.42 μB per atom
space-group type = No. 2
calculated density = 8.19 g/cm³
energy relative to the elements = 0.44 eV/atom

Structure (extended XYZ):
```
16
Lattice="-5.6538 7.2873 -2.1653 -7.4217 -5.7814 -1.0156 8.5092 -0.4569 8.0608" Properties=species:S:1:pos:R:3 pbc="T T T"
Dy -1.8327 3.7988 2.1424
Dy -6.9857 -2.5035 -1.2945
Dy 2.4194 3.5525 6.1743
Dy 1.0052 0.1751 3.2280
Dy -3.2802 0.4086 -0.7932
Dy -1.2860 0.6402 5.6731
Dy -5.5714 0.8737 1.6519
Dy -2.7335 -2.7499 2.7375
Pm -3.7108 -2.8907 -0.5078
Pm -5.1100 4.1681 1.3572
Er 4.2546 -0.2285 4.0304
Er 1.4277 3.4152 2.9477
Er -6.5377 0.7529 -1.5904
Er -2.8269 3.6436 -1.0826
Ho -2.2831 0.5244 2.4400
Ho 2.8555 6.8303 5.8954
```

---

Copy entry 2 word for word.
First-principles (PBE-GGA) data for a relaxed structure of PmPt2Au2, as listed in Alexandria.

Computed properties:
magnetization = 0.00 μB per atom
space-group type = No. 139
calculated density = 14.91 g/cm³
energy relative to the elements = -0.54 eV/atom

Structure (extended XYZ):
```
10
Lattice="3.9783 0.0000 0.0000 0.0000 3.9783 0.0000 -1.9892 -1.9892 13.0732" Properties=species:S:1:pos:R:3 pbc="T T T"
Pm 0.0000 0.0000 9.8664
Pm 1.9892 1.9892 3.2067
Pt 0.0000 1.9892 6.5366
Pt 1.9892 0.0000 6.5366
Pt 1.9892 1.9892 11.0772
Pt 0.0000 0.0000 1.9960
Au 0.0000 1.9892 0.0000
Au 1.9892 0.0000 0.0000
Au 1.9892 1.9892 8.4529
Au 0.0000 0.0000 4.6203
```